DFT (GGA-PBE) results for a geometry-optimized PuBAs structure.

a b c (Å): 4.3815 4.3815 4.3815
angles (deg): 60.00 60.00 60.00
Closest atoms and distances in Å follow each position.
Sites, in units of the cell vectors:
Pu 0.0000 0.0000 0.0000  4 As 2.68
B 0.5000 0.5000 0.5000  4 As 2.68
As 0.7500 0.7500 0.7500  4 Pu 2.68, 4 B 2.68

Results
* mass density: 9.21 g/cm³
* E: -7.866 eV per atom
* total magnetic moment: 1.8297 μB per atom